The following is a GGA-PBEsol calculation of crystalline BeAs2PtW at its relaxed geometry, from Alexandria via LeMat-Bulk.

Unit cell a=4.815 b=4.815 c=3.982 alpha=90.00 beta=90.00 gamma=90.00
Fractional positions:
1 Be 0.000 0.000 0.000
2 As 0.000 0.500 0.500
3 As 0.500 0.000 0.500
4 Pt 0.000 0.000 0.500
5 W 0.500 0.500 0.000

Calculated values
Formation energy (meV/atom): 1193
Magnetic moment (μB/f.u.): 1.72
Calculated volume (Å³/atom): 18.47
Fermi-level density of states (states/eV per cell): 3.57